1.
This record from Alexandria via LeMat-Bulk describes an optimized crystal structure of CsMg2Cd. The functional is PBE.

```
8
Lattice="-0.1545 -5.6972 -2.5020 4.5009 1.6259 -3.9801 8.8336 -4.9934 3.0827" Properties=species:S:1:pos:R:3 pbc="T T T"
Cs 0.0000 0.0000 0.0000
Cs 5.4262 -6.3632 -1.3302
Mg 2.7132 -3.1792 -0.6641
Mg 4.9635 -2.3710 -2.6562
Mg 9.3822 -4.8647 -1.1154
Mg 9.3013 -7.7146 -2.3632
Cd 2.1732 -2.0357 -3.2411
Cd 7.7539 -2.7016 -2.0692
```

Calculated values
ρ in kg/m³: 2611
Energy of formation from the pure elements in eV per atom: 0.23



2.
This record from Alexandria via LeMat-Bulk describes an optimized crystal structure of Na3ThZr2Se6. The functional is PBE.

```
12
Lattice="6.8472 -0.0094 -0.0048 -3.4301 5.9261 -0.0048 -1.1444 -1.9816 7.2482" Properties=species:S:1:pos:R:3 pbc="T T T"
Na -2.3404 3.9755 3.6193
Na 4.6131 -0.0404 3.6193
Na 1.1363 1.9676 3.6193
Th 0.0000 0.0000 0.0000
Zr -0.0176 3.9553 -0.0048
Zr 3.4347 1.9614 -0.0048
Se 3.4704 1.8659 5.5555
Se 2.2216 3.8466 1.6681
Se -1.1977 2.0693 1.6830
Se -0.1182 3.9384 5.5555
Se 0.0511 0.0885 5.5704
Se 2.3909 -0.0033 1.6830
```

Calculated values
ΔE_f (raw) in eV/atom: -1.363
ρ in kg/m³: 5411



3.
This record from Alexandria via LeMat-Bulk describes an optimized crystal structure of Ce2Pt4Rh. The functional is PBE.

```
7
Lattice="4.9338 0.0191 -2.8258 -1.6367 4.6545 -2.8259 0.0828 0.1173 5.8587" Properties=species:S:1:pos:R:3 pbc="T T T"
Ce 0.1715 3.7288 0.3203
Ce 3.4553 1.4122 0.3204
Pt 2.5971 3.6814 -4.0217
Pt 0.9476 1.3432 -1.1971
Pt 3.4146 1.3534 -2.6093
Pt 0.1298 3.6708 -2.6093
Rh 2.6379 3.7392 -1.0927
```

Calculated values
ρ in kg/m³: 14001
Energy of formation from the pure elements in eV per atom: -0.92



4.
This record from Alexandria via LeMat-Bulk describes an optimized crystal structure of KCeSeO5. The functional is PBE.

```
16
Lattice="-1.8878 5.3155 -2.9100 -5.3005 -2.7803 2.1120 3.6845 2.6088 6.7094" Properties=species:S:1:pos:R:3 pbc="T T T"
K -3.2573 0.5337 2.1381
K -0.2465 4.6102 3.7733
Ce 1.8422 1.3044 3.3547
Ce 0.0000 0.0000 0.0000
Se -2.0562 3.3830 0.3707
Se -1.4476 1.7609 5.5407
O -4.1575 -1.6018 3.4628
O 0.6537 6.7457 2.4486
O -2.8327 4.0825 -1.0832
O -0.6711 1.0615 6.9945
O -0.5923 4.3142 0.8129
O -2.9115 0.8297 5.0984
O -3.1581 3.3490 1.7403
O -0.3457 1.7949 4.1711
O -1.6817 1.6915 0.0714
O -1.8221 3.4525 5.8399
```

Calculated values
ΔE_f (raw) in eV/atom: -1.851
ρ in kg/m³: 3921



5.
This record from Alexandria via LeMat-Bulk describes an optimized crystal structure of PaGa3Ir3. The functional is PBE.

```
14
Lattice="-6.0930 2.5672 1.2928 -2.7966 -5.9947 -1.2767 0.6638 -1.6913 6.4873" Properties=species:S:1:pos:R:3 pbc="T T T"
Pa -4.1129 -2.5594 3.2517
Pa 0.0000 0.0000 0.0000
Ga -0.3672 -2.3443 2.9245
Ga -1.7655 -5.3417 2.2861
Ga -2.5486 0.0151 5.5119
Ga -5.9681 -1.0720 0.3312
Ga -2.8806 0.8607 2.2682
Ga -2.9216 -2.3555 -0.3152
Ir -1.1913 -0.2039 3.5669
Ir -1.2323 -3.4202 0.9835
Ir -5.1440 -3.2124 -0.3111
Ir -4.2379 1.0797 4.2133
Ir -0.9004 -4.2658 4.2271
Ir -3.7457 -0.2151 0.3272
```

Calculated values
ρ in kg/m³: 11044
Energy of formation from the pure elements in eV per atom: 0.26



6.
This record from Alexandria via LeMat-Bulk describes an optimized crystal structure of LaTb8Tm5. The functional is PBE.

```
14
Lattice="8.0704 0.0000 -2.4326 -4.1887 6.6730 -2.9954 0.3070 0.0000 8.4234" Properties=species:S:1:pos:R:3 pbc="T T T"
La 0.1535 3.3365 4.2117
Tb -1.7532 4.9379 -1.9454
Tb 7.2785 0.5626 3.0719
Tb 4.8312 1.6798 0.2206
Tb 4.0993 2.6307 4.9966
Tb 1.8649 4.0423 -0.7315
Tb 1.0712 6.1105 2.8991
Tb 1.7809 1.7351 1.9652
Tb -2.4181 4.9933 1.5050
Tm -0.9583 2.1516 0.0756
Tm 3.2284 6.0541 -3.2500
Tm 3.9505 4.5214 2.0641
Tm 4.1887 0.0000 2.9954
Tm 2.1568 0.6189 7.1011
```

Calculated values
ρ in kg/m³: 8165
Energy of formation from the pure elements in eV per atom: 0.24



7.
This record from Alexandria via LeMat-Bulk describes an optimized crystal structure of LiHgSe2N. The functional is PBE.

```
5
Lattice="4.9343 0.0000 0.0000 0.0000 4.9343 0.0000 0.0000 0.0000 3.9283" Properties=species:S:1:pos:R:3 pbc="T T T"
Li 0.0000 0.0000 0.0000
Hg 2.4671 2.4671 1.9642
Se 0.0000 2.4671 0.0000
Se 2.4671 0.0000 0.0000
N 0.0000 0.0000 1.9642
```

Calculated values
ΔE_f (raw) in eV/atom: 0.870
Excess energy over the best structure of this formula in the dataset in meV/atom: 8
ρ in kg/m³: 6588



8.
This record from Alexandria via LeMat-Bulk describes an optimized crystal structure of Ba2CuCS. The functional is PBE.

```
5
Lattice="-2.7582 -0.4441 4.9423 -2.9062 -2.1092 -1.8114 2.7919 -4.8135 1.1256" Properties=species:S:1:pos:R:3 pbc="T T T"
C 0.0000 0.0000 0.0000
S -1.4531 -1.0546 -0.9057
Ba 1.3959 -2.4067 0.5628
Ba -1.3791 -0.2221 2.4711
Cu -1.4363 -3.6834 2.1282
```

Calculated values
ΔE_f (raw) in eV/atom: 0.239
ρ in kg/m³: 4897



9.
This record from Alexandria via LeMat-Bulk describes an optimized crystal structure of RuWCl2. The functional is PBE.

```
4
Lattice="-1.5084 -1.8211 1.5694 -1.1073 -2.7995 -4.3127 3.5194 -2.3687 0.6340" Properties=species:S:1:pos:R:3 pbc="T T T"
Ru 1.0055 -2.0949 1.1017
W 1.2060 -2.5841 -1.8394
Cl 0.0000 0.0000 0.0000
Cl -1.3078 -2.3103 -1.3716
```

Calculated values
ΔE_f (raw) in eV/atom: 0.842
Excess energy over the best structure of this formula in the dataset in meV/atom: 1039
ρ in kg/m³: 9228



10.
This record from Alexandria via LeMat-Bulk describes an optimized crystal structure of Sm2Ga4HgPt3. The functional is PBE.

```
10
Lattice="4.3241 0.0000 0.0000 0.0000 4.3241 0.0000 0.0000 0.0000 10.6471" Properties=species:S:1:pos:R:3 pbc="T T T"
Sm 2.1620 0.0000 2.5111
Sm 0.0000 2.1620 8.1360
Ga 2.1620 2.1620 0.0000
Ga 0.0000 0.0000 0.0000
Ga 2.1620 0.0000 6.8429
Ga 0.0000 2.1620 3.8042
Hg 2.1620 2.1620 5.3235
Pt 0.0000 0.0000 5.3235
Pt 2.1620 0.0000 9.2839
Pt 0.0000 2.1620 1.3632
```

Calculated values
ρ in kg/m³: 11390
Energy of formation from the pure elements in eV per atom: -0.80



11.
This record from Alexandria via LeMat-Bulk describes an optimized crystal structure of HfSb3S. The functional is PBE.

```
5
Lattice="5.4535 0.0000 0.0000 0.0000 5.4535 0.0000 0.0000 0.0000 5.4535" Properties=species:S:1:pos:R:3 pbc="T T T"
Sb 0.0000 2.7268 0.0000
Sb 0.0000 0.0000 2.7268
Sb 2.7268 0.0000 0.0000
S 2.7268 2.7268 2.7268
Hf 0.0000 0.0000 0.0000
```

Calculated values
ΔE_f (raw) in eV/atom: 0.526
Excess energy over the best structure of this formula in the dataset in meV/atom: 0
ρ in kg/m³: 5895



12.
This record from Alexandria via LeMat-Bulk describes an optimized crystal structure of Li2Pr3Hg7. The functional is PBE.

```
12
Lattice="-0.6123 -3.2598 2.9057 3.9154 1.5548 2.5693 -10.1080 7.4087 6.1818" Properties=species:S:1:pos:R:3 pbc="T T T"
Li -4.1005 6.8622 6.8346
Li -2.0921 2.1013 1.9166
Pr 1.6515 -0.8525 2.7375
Pr -1.3381 2.1503 5.4763
Pr -5.4667 3.5533 6.1805
Hg -6.6681 6.6974 6.1087
Hg -2.5891 5.3441 5.4500
Hg 0.0000 0.0000 0.0000
Hg 0.4756 2.2660 2.6424
Hg -1.6197 -0.3106 2.6562
Hg -5.1852 6.0142 9.0006
Hg -3.6035 3.6193 3.3012
```

Calculated values
ρ in kg/m³: 10213
Energy of formation from the pure elements in eV per atom: -0.35



13.
This record from Alexandria via LeMat-Bulk describes an optimized crystal structure of HgGeHI2. The functional is PBE.

```
5
Lattice="6.1434 0.0000 0.0000 0.0000 5.1757 0.0000 0.0000 0.0000 6.1434" Properties=species:S:1:pos:R:3 pbc="T T T"
I 0.0000 0.0000 3.0717
I 3.0717 0.0000 0.0000
H 3.0717 2.5879 3.0717
Ge 0.0000 2.5879 0.0000
Hg 0.0000 0.0000 0.0000
```

Calculated values
ρ in kg/m³: 4489



14.
This record from Alexandria via LeMat-Bulk describes an optimized crystal structure of Rb2CrIrRu. The functional is PBE.

```
5
Lattice="6.6381 0.0000 0.0000 0.0000 4.5968 0.0000 0.0000 0.0000 6.6381" Properties=species:S:1:pos:R:3 pbc="T T T"
Ru 0.0000 2.2984 0.0000
Ir 0.0000 0.0000 0.0000
Rb 0.0000 0.0000 3.3190
Rb 3.3190 0.0000 0.0000
Cr 3.3190 2.2984 3.3190
```

Calculated values
ρ in kg/m³: 4232
Energy of formation from the pure elements in eV per atom: 1.49



15.
This record from Alexandria via LeMat-Bulk describes an optimized crystal structure of AlAsPt2. The functional is PBE.

```
4
Lattice="4.4367 0.0082 -0.0001 3.4445 2.7964 -0.0001 1.0955 0.3899 5.1588" Properties=species:S:1:pos:R:3 pbc="T T T"
As 2.2442 0.7986 1.2897
Al 6.7325 2.3959 3.8690
Pt 1.1830 0.4210 5.0817
Pt 4.4009 1.5661 2.6563
```

Calculated values
Excess energy over the best structure of this formula in the dataset in meV/atom: 115
ρ in kg/m³: 12796
Energy of formation from the pure elements in eV per atom: -0.43



16.
This record from Alexandria via LeMat-Bulk describes an optimized crystal structure of Hf3NbS. The functional is PBE.

```
10
Lattice="-5.2687 2.1753 -3.2846 2.3132 -6.0930 -0.8720 -1.6052 -0.0377 6.1545" Properties=species:S:1:pos:R:3 pbc="T T T"
Hf -1.1182 -1.2375 4.1504
Hf -3.6293 -2.9664 -2.4152
Hf -2.6018 -3.2064 2.0593
Hf 0.1746 -2.0690 1.5101
Hf -2.1461 -0.9964 -0.3251
Hf 0.3462 -4.3099 3.5090
Nb -1.3702 -4.0535 -0.4980
Nb -3.3774 -0.1500 2.2327
S -4.3334 0.9262 4.3804
S 1.0633 -3.1709 -0.5675
```

Calculated values
ΔE_f (raw) in eV/atom: -0.444
Excess energy over the best structure of this formula in the dataset in meV/atom: 0
ρ in kg/m³: 10846



17.
This record from Alexandria via LeMat-Bulk describes an optimized crystal structure of LaTl3Si. The functional is PBE.

```
5
Lattice="-2.6029 2.2567 4.9817 2.8924 -4.1144 3.3751 4.6416 3.8294 0.6904" Properties=species:S:1:pos:R:3 pbc="T T T"
Tl 1.4462 -2.0572 1.6875
Tl 2.3208 1.9147 0.3452
Tl -1.3014 1.1284 2.4908
Si 2.4655 0.9859 4.5236
La 0.0000 0.0000 0.0000
```

Calculated values
ΔE_f (raw) in eV/atom: 1.017
Excess energy over the best structure of this formula in the dataset in meV/atom: 802
ρ in kg/m³: 5830



18.
This record from Alexandria via LeMat-Bulk describes an optimized crystal structure of Ba2GaRhBr. The functional is PBE.

```
5
Lattice="-0.1374 -2.3538 5.6202 -4.9255 -3.2664 -1.4884 2.8077 -3.5815 -1.4314" Properties=species:S:1:pos:R:3 pbc="T T T"
Ga 1.4038 -1.7908 -0.7157
Rh 0.0000 0.0000 0.0000
Ba -2.4628 -1.6332 -0.7442
Ba -0.0687 -1.1769 2.8101
Br -1.1276 -4.6009 1.3502
```

Calculated values
ΔE_f (raw) in eV/atom: -0.841
Excess energy over the best structure of this formula in the dataset in meV/atom: 0
ρ in kg/m³: 4940



19.
This record from Alexandria via LeMat-Bulk describes an optimized crystal structure of NbGa2Pt. The functional is PBE.

```
4
Lattice="-1.4467 -2.8122 -2.7305 2.4865 -1.4358 -3.0352 1.6715 -4.6257 0.6818" Properties=species:S:1:pos:R:3 pbc="T T T"
Nb 1.3556 -4.4369 -2.5420
Ga 2.0964 -6.8077 -3.6893
Ga 0.6149 -2.0660 -1.3946
Pt 0.0000 0.0000 0.0000
```

Calculated values
ρ in kg/m³: 10817
Energy of formation from the pure elements in eV per atom: -0.33



20.
This record from Alexandria via LeMat-Bulk describes an optimized crystal structure of NdEr3Bi2. The functional is PBE.

```
12
Lattice="-2.9418 -2.8176 1.5444 9.1826 -5.6228 1.0887 -3.2378 6.8718 6.3697" Properties=species:S:1:pos:R:3 pbc="T T T"
Nd 1.6194 -0.7166 7.9215
Nd 1.3836 -0.8519 1.0813
Er 3.1452 -0.8617 4.4189
Er 3.5548 -3.8148 5.9557
Er -1.9319 2.1348 6.3591
Er 4.9349 -3.7033 2.6437
Er -0.5518 2.2463 3.0471
Er -0.1422 -0.7068 4.5839
Bi 4.8754 -1.2352 7.0331
Bi -1.8724 -0.3333 1.9696
Bi 1.7316 -3.4881 3.0789
Bi 1.2714 1.9196 5.9239
```

Calculated values
ρ in kg/m³: 9513
Energy of formation from the pure elements in eV per atom: -0.48



no.,calculated total energy (eV per atom)
1,-1.012
2,-5.478
3,-7.119
4,-6.264
5,-6.195
6,-4.352
7,-2.632
8,-4.020
9,-5.639
10,-4.800
11,-4.763
12,-2.041
13,-1.532
14,-4.449
15,-5.552
16,-9.256
17,-2.473
18,-4.020
19,-5.869
20,-4.854